Material: KYSe2
Method: DFT, SCAN
State: single point on PBEsol structure

a b c (Å): 3.589 3.589 7.811
angles (deg): 90.00 90.00 90.00
Positions (direct):
K1 0.500 0.500 0.500
Se1 0.000 0.000 0.790
Se2 0.000 0.000 0.210
Y1 0.500 0.500 0.000

## Properties
D(E_F)   0.051 states/eV per atom
SG   P4/mmm
Energy   -20.81 eV per atom
Density   4.72 g/cm³